Computed, not measured: crystalline NdTm2Te4 at its relaxed geometry at the GGA-PBE level of DFT.

a b c (Å): 4.2744 7.4393 14.8853
angles (deg): 90.00 90.00 106.70
Atoms (fractional coordinates):
Tm (0.8688, 0.7376, 0.9320)
Nd (0.6256, 0.2511, 0.7500)
Te (0.2253, 0.4506, 0.8814)
Te (0.7747, 0.5494, 0.3814)
Te (0.5000, 0.0000, 0.5000)
Te (0.2253, 0.4506, 0.6186)
Te (0.0412, 0.0824, 0.2500)
Tm (0.1312, 0.2624, 0.0680)
Nd (0.3744, 0.7489, 0.2500)
Te (0.7747, 0.5494, 0.1186)
Tm (0.8688, 0.7376, 0.5680)
Te (0.5000, 0.0000, 0.0000)
Te (0.9588, 0.9176, 0.7500)
Tm (0.1312, 0.2624, 0.4320)

Values from the calculation:
Energy (eV/cell): -71.5
V (Å³/cell): 453
ΔE to the lowest computed polymorph (meV/atom): 45.2
Formation energy (no corrections) (eV/atom): -1.351